Mg14ZnSn: optimized geometry, PBE-GGA.

```
Mg14ZnSn
1.0
6.343 -0.010 0.000
0.017 6.343 0.000
0.000 0.000 8.908
Mg Zn Sn
14 1 1
Direct
0.875 0.875 0.000 Mg
0.375 0.375 0.000 Mg
0.875 0.375 0.500 Mg
0.875 0.375 0.000 Mg
0.375 0.875 0.500 Mg
0.375 0.875 0.000 Mg
0.619 0.131 0.257 Mg
0.619 0.131 0.743 Mg
0.131 0.619 0.257 Mg
0.131 0.619 0.743 Mg
0.619 0.619 0.257 Mg
0.619 0.619 0.743 Mg
0.131 0.131 0.257 Mg
0.131 0.131 0.743 Mg
0.375 0.375 0.500 Zn
0.875 0.875 0.500 Sn
```

Results
The value obtained for the energy of formation from the pure elements is -0.017 eV per atom. The energy above the most stable polymorph in this dataset is 0.004 eV per atom. The magnetic moment comes out at 0.00 Bohr magnetons per cell. The value obtained for the total energy is -0.0640 Ha/atom.